Density functional theory data (PBE) for a relaxed structure of YTa2Ru2.

Output
- E_form: -0.126 eV per atom

Unit cell a=7.846 b=7.846 c=2.970 alpha=90.00 beta=90.00 gamma=90.00
Atoms (fractional coordinates):
Ru  0.351  0.149  0.500
Ru  0.649  0.851  0.500
Ru  0.851  0.351  0.500
Ru  0.149  0.649  0.500
Y  0.000  0.000  0.000
Y  0.500  0.500  0.000
Ta  0.643  0.143  0.000
Ta  0.143  0.357  0.000
Ta  0.357  0.857  0.000
Ta  0.857  0.643  0.000



Density functional theory data (PBE) for a relaxed structure of YTa2Ru.

Output
- E_form: 0.245 eV per atom

Unit cell a=4.987 b=3.942 c=3.942 alpha=90.00 beta=90.00 gamma=90.00
Atoms (fractional coordinates):
Ru  0.500  0.000  0.500
Y  0.500  0.500  0.000
Ta  0.000  0.500  0.500
Ta  0.000  0.000  0.000



Summary of DFT total energy in eV/atom
-9.870 -9.616
(order as listed above)
Summary of volume in Å³/f.u.
91.4 77.5
(order as listed above)